Li3Sn4O9 (PBE, relaxed); raw formation energy = -1.615 eV/atom; space group = R3, No. 146; final energy = -5.7640 eV per atom
1.0
-3.570 2.046 3.510
-4.132 -3.030 1.730
1.797 -2.892 7.681
O Sn Li
9 4 3
Direct
0.771 0.418 0.748
0.935 0.357 0.081
0.477 0.899 0.416
0.357 0.626 0.081
0.626 0.935 0.081
0.418 0.063 0.748
0.063 0.771 0.748
0.208 0.477 0.416
0.899 0.208 0.416
0.265 0.265 0.204
0.705 0.705 0.886
0.130 0.130 0.611
0.569 0.569 0.293
0.417 0.417 0.748
0.836 0.836 0.491
0.997 0.997 0.008

---

Li2SnO3 (PBE, relaxed); raw formation energy = -1.874 eV/atom; space group = C2/m, No. 12; final energy = -5.6581 eV per atom
1.0
5.289 -0.013 -0.892
-2.847 4.457 -0.892
-0.027 -0.049 5.304
O Li Sn
6 4 2
Direct
0.061 0.394 0.239
0.413 0.096 0.235
0.763 0.746 0.235
0.904 0.587 0.765
0.606 0.939 0.761
0.254 0.237 0.765
0.333 0.667 0.000
0.175 0.825 0.500
0.833 0.167 0.500
0.491 0.509 0.500
0.000 0.000 0.000
0.666 0.334 0.000

---

Li4SnO3 (PBE, relaxed); raw formation energy = -1.661 eV/atom; space group = Cc, No. 9; final energy = -4.9773 eV per atom
1.0
-0.601 -4.862 1.893
-3.088 1.437 -4.575
8.123 -1.759 -1.940
Li O Sn
8 6 2
Direct
0.058 0.694 0.485
0.636 0.694 0.985
0.930 0.333 0.055
0.651 0.642 0.314
0.991 0.642 0.814
0.306 0.225 0.970
0.403 0.333 0.555
0.919 0.225 0.470
0.367 0.610 0.149
0.679 0.349 0.390
0.670 0.349 0.890
0.243 0.610 0.649
0.071 0.952 0.387
0.881 0.952 0.887
0.317 0.976 0.199
0.659 0.976 0.699

---

LiSnO2 (PBE, relaxed); raw formation energy = -1.417 eV/atom; space group = C2/c, No. 15; final energy = -5.3753 eV per atom
1.0
-3.263 -1.211 2.589
-0.799 -4.537 -3.131
5.158 0.017 2.875
O Li Sn
4 2 2
Direct
0.321 0.359 0.731
0.590 0.141 0.269
0.410 0.859 0.731
0.679 0.641 0.269
0.500 0.500 0.500
0.000 0.000 0.500
0.681 0.250 0.000
0.319 0.750 0.000

---

Li4SnO4 (PBE, relaxed); raw formation energy = -1.858 eV/atom; space group = Cmcm, No. 63; final energy = -5.3565 eV per atom
1.0
-0.044 -5.265 -1.765
3.152 1.994 -4.115
5.291 -1.207 3.469
Li Sn O
8 2 8
Direct
0.592 0.883 0.750
0.157 0.843 0.500
0.408 0.117 0.250
0.883 0.592 0.750
0.843 0.157 0.000
0.117 0.408 0.250
0.157 0.843 0.000
0.843 0.157 0.500
0.652 0.652 0.250
0.348 0.348 0.750
0.312 0.735 0.250
0.688 0.265 0.750
0.796 0.796 0.511
0.204 0.204 0.011
0.265 0.688 0.750
0.735 0.312 0.250
0.204 0.204 0.489
0.796 0.796 0.989

---

LiSn2O2 (PBE, relaxed); raw formation energy = -0.942 eV/atom; space group = I4/mmm, No. 139; final energy = -4.9090 eV per atom; distance to the lowest polymorph of the same formula = 0 meV/atom
1.0
3.758 0.000 0.000
0.000 3.758 0.000
1.879 1.879 6.638
Sn Li O
2 1 2
Direct
0.658 0.658 0.685
0.342 0.342 0.315
0.000 0.000 0.000
0.250 0.750 0.500
0.750 0.250 0.500

---

SrLiSnO3 (PBE, relaxed); raw formation energy = -1.770 eV/atom; space group = C2/m, No. 12; final energy = -5.5152 eV per atom
1.0
-4.321 -0.547 3.553
1.634 -3.660 3.939
1.450 3.449 5.436
Li Sn O Sr
2 2 6 2
Direct
0.655 0.345 0.500
0.345 0.655 0.500
0.930 0.930 0.330
0.070 0.070 0.670
0.694 0.694 0.474
0.183 0.702 0.821
0.306 0.306 0.526
0.298 0.817 0.179
0.702 0.183 0.821
0.817 0.298 0.179
0.686 0.686 0.884
0.314 0.314 0.116

---

Sr4LiSn3O12 (PBE, relaxed); raw formation energy = -1.923 eV/atom; space group = Im-3m, No. 229; final energy = -5.9307 eV per atom
1.0
-5.614 -1.441 -4.153
5.609 -3.829 -2.173
-1.549 -1.676 6.755
Li O Sn Sr
1 12 3 4
Direct
0.000 0.000 0.000
0.747 0.000 0.747
0.000 0.253 0.253
0.750 0.250 0.500
0.253 0.000 0.253
0.750 0.500 0.250
0.000 0.747 0.747
0.500 0.750 0.250
0.500 0.250 0.750
0.253 0.253 0.000
0.250 0.750 0.500
0.250 0.500 0.750
0.747 0.747 0.000
0.500 0.000 0.500
0.500 0.500 0.000
0.000 0.500 0.500
0.500 0.000 0.000
0.000 0.000 0.500
0.500 0.500 0.500
0.000 0.500 0.000

---

Sr3Li2SnO6 (PBE, relaxed); raw formation energy = -2.165 eV/atom; space group = P-3m1, No. 164; final energy = -5.7173 eV per atom
1.0
5.871 0.000 0.000
-2.936 5.085 0.000
0.000 0.000 6.351
Li Sr O Sn
2 3 6 1
Direct
0.333 0.667 0.199
0.667 0.333 0.801
0.333 0.667 0.616
0.667 0.333 0.384
0.000 0.000 0.000
0.834 0.166 0.697
0.331 0.166 0.697
0.669 0.834 0.303
0.834 0.669 0.697
0.166 0.331 0.303
0.166 0.834 0.303
0.000 0.000 0.500

---

Li2SnTeO6 (PBE, relaxed); raw formation energy = -1.550 eV/atom; space group = R3, No. 146; final energy = -5.6223 eV per atom
1.0
5.209 0.000 0.000
2.604 4.511 0.000
2.604 1.504 4.597
O Te Li Sn
6 1 2 1
Direct
0.422 0.697 0.775
0.697 0.105 0.775
0.211 0.946 0.260
0.946 0.582 0.260
0.106 0.422 0.775
0.582 0.211 0.260
0.319 0.319 0.042
0.028 0.028 0.915
0.534 0.534 0.399
0.815 0.815 0.554

---

LiSnTeO6 (PBE, relaxed); raw formation energy = -1.221 eV/atom; space group = P4_2nm, No. 102; final energy = -5.5330 eV per atom
1.0
-3.668 2.354 1.974
-1.179 -3.917 2.482
5.526 2.759 6.980
Li Sn O Te
2 2 12 2
Direct
0.000 0.000 0.666
0.500 0.500 0.166
0.500 0.500 0.497
0.000 0.000 0.997
0.289 0.289 0.334
0.190 0.810 0.177
0.192 0.808 0.489
0.808 0.192 0.489
0.308 0.308 0.989
0.789 0.211 0.834
0.692 0.692 0.989
0.711 0.711 0.334
0.690 0.690 0.677
0.310 0.310 0.677
0.810 0.190 0.177
0.211 0.789 0.834
0.000 0.000 0.335
0.500 0.500 0.835

---

LiSnTeO5 (PBE, relaxed); raw formation energy = -1.257 eV/atom; space group = C2/c, No. 15; final energy = -5.4883 eV per atom
1.0
5.927 -0.412 -0.020
-2.124 5.549 -0.020
-1.627 -2.197 7.046
Te O Sn Li
2 10 2 2
Direct
0.705 0.295 0.250
0.295 0.705 0.750
0.594 0.788 0.960
0.345 0.983 0.636
0.017 0.655 0.864
0.080 0.920 0.250
0.655 0.017 0.364
0.983 0.345 0.136
0.788 0.594 0.460
0.406 0.212 0.040
0.920 0.080 0.750
0.212 0.406 0.540
0.000 0.000 0.500
0.000 0.000 0.000
0.277 0.723 0.250
0.723 0.277 0.750

---

LiTiSnO4 (PBE, relaxed); raw formation energy = -2.156 eV/atom; space group = Imma, No. 74; final energy = -6.9619 eV per atom
1.0
-3.910 3.165 -3.294
-5.061 2.435 2.859
-0.255 6.244 0.814
O Sn Ti Li
8 2 2 2
Direct
0.216 0.774 0.274
0.784 0.226 0.726
0.240 0.224 0.296
0.760 0.204 0.276
0.736 0.774 0.274
0.760 0.776 0.704
0.240 0.796 0.724
0.264 0.226 0.726
0.000 0.500 0.500
0.000 0.000 0.000
0.500 0.000 0.500
0.000 0.000 0.500
0.619 0.631 0.131
0.381 0.369 0.869

---

LiTiSn2O6 (PBE, relaxed); raw formation energy = -1.682 eV/atom; space group = P4mm, No. 99; final energy = -6.4380 eV per atom
1.0
4.964 0.000 0.000
0.000 5.100 0.000
0.000 0.000 5.100
Ti O Li Sn
1 6 1 2
Direct
0.583 0.000 0.000
0.214 0.000 0.000
0.177 0.500 0.500
0.739 0.244 0.756
0.739 0.756 0.244
0.739 0.756 0.756
0.739 0.244 0.244
0.568 0.500 0.500
0.973 0.000 0.500
0.973 0.500 0.000

---

Li2TiSnO (PBE, relaxed); raw formation energy = -1.248 eV/atom; space group = P4/mmm, No. 123; final energy = -5.3846 eV per atom
1.0
-0.883 3.999 0.113
-3.214 -0.779 2.417
2.375 0.431 3.298
Sn Li O Ti
1 2 1 1
Direct
0.500 0.500 0.500
0.000 0.500 0.000
0.500 0.000 0.000
0.000 0.000 0.000
0.000 0.000 0.500

---

LiTi2SnO (PBE, relaxed); raw formation energy = -1.218 eV/atom; space group = P4/mmm, No. 123; final energy = -6.5514 eV per atom
1.0
4.144 0.000 0.000
0.000 4.144 0.000
0.000 0.000 4.212
Sn Li O Ti
1 1 1 2
Direct
0.500 0.500 0.500
0.000 0.000 0.500
0.000 0.000 0.000
0.500 0.000 0.000
0.000 0.500 0.000

---

Li4Ti3Sn5O16 (PBE, relaxed); raw formation energy = -2.066 eV/atom; space group = Cm, No. 8; final energy = -6.7334 eV per atom
1.0
-6.026 1.561 0.146
-4.308 -3.844 -2.331
-1.030 -4.812 9.786
O Sn Ti Li
16 5 3 4
Direct
0.144 0.701 0.886
0.341 0.341 0.382
0.843 0.299 0.387
0.996 0.996 0.183
0.299 0.843 0.387
0.505 0.018 0.191
0.510 0.510 0.678
0.524 0.984 0.686
0.984 0.524 0.686
0.701 0.144 0.886
0.855 0.855 0.382
0.672 0.672 0.882
0.488 0.488 0.193
0.018 0.505 0.191
0.996 0.996 0.678
0.151 0.151 0.888
0.165 0.165 0.282
0.338 0.338 0.986
0.334 0.832 0.779
0.670 0.670 0.483
0.832 0.334 0.779
0.655 0.170 0.281
0.170 0.655 0.281
0.825 0.825 0.777
0.994 0.994 0.498
0.336 0.336 0.633
0.991 0.991 0.003
0.666 0.666 0.147

---

LiTl2SnO6 (PBE, relaxed); raw formation energy = -1.000 eV/atom; space group = R3, No. 146; final energy = -5.0398 eV per atom
1.0
5.595 0.000 0.001
2.798 4.846 0.001
2.798 1.616 4.972
O Tl Sn Li
6 2 1 1
Direct
0.430 0.690 0.766
0.690 0.114 0.766
0.206 0.951 0.251
0.951 0.592 0.251
0.592 0.206 0.251
0.114 0.430 0.766
0.024 0.024 0.927
0.530 0.530 0.409
0.318 0.318 0.047
0.806 0.807 0.581

---

Li2TlSnO4 (PBE, relaxed); raw formation energy = -1.396 eV/atom; space group = I-4m2, No. 119; final energy = -5.1493 eV per atom
1.0
-2.685 -3.069 1.267
-0.963 -0.841 -4.074
6.172 -1.941 1.180
Li O Sn Tl
2 4 1 1
Direct
0.250 0.750 0.500
0.000 0.000 0.000
0.999 0.499 0.998
0.501 0.001 0.002
0.320 0.320 0.640
0.680 0.680 0.360
0.500 0.500 0.000
0.750 0.250 0.500